# GGA-PBE CaPrEu2, relaxed
data_CaPrEu2
_chemical_formula_sum 'Ca1 Pr1 Eu2'
_symmetry_space_group_name_H-M 'P 4/m m m'
_symmetry_Int_Tables_number 123
_symmetry_space_group_name_Hall '-P 4 2'
_cell_length_a 3.800
_cell_length_b 3.800
_cell_length_c 11.141
_cell_angle_alpha 90.00
_cell_angle_beta 90.00
_cell_angle_gamma 90.00
loop_
_atom_site_label
_atom_site_type_symbol
_atom_site_fract_x
_atom_site_fract_y
_atom_site_fract_z
_atom_site_occupancy
Ca1 Ca 0.000 0.000 0.000 1
Pr1 Pr 0.000 0.000 0.500 1
Eu1 Eu 0.500 0.500 0.259 1
# E_form: 0.04 eV/atom
# VASP energy: -6.79 eV per atom